No. 1
PBE-GGA Be2AgP, optimized geometry; calculated formation energy = 0.080 eV per atom
1.0
3.404 0.000 0.000
-1.702 2.948 0.000
0.000 0.000 5.352
Be Ag P
2 1 1
direct
0.333 0.667 0.181 Be
0.667 0.333 0.819 Be
0.000 0.000 0.500 Ag
0.000 0.000 0.000 P

***

No. 2
PBE-GGA KMo2Br, optimized geometry; raw formation energy = 1325 meV/atom
1.0
1.585 -2.474 0.000
1.585 2.474 0.000
0.000 0.000 10.629
K Mo Br
1 2 1
direct
0.000 0.000 0.000 K
0.500 0.500 0.292 Mo
0.500 0.500 0.708 Mo
0.000 0.000 0.500 Br

***

no.,DOS(E_F) (states/eV per atom)
1,0.1057
2,0.7256